Model a:
Material: Gd2ThHg
Method: DFT, PBE-GGA
State: relaxed

Structure (POSCAR):
```
Gd2ThHg
1.0
1.7800 1.0277 11.8628
-1.7800 1.0277 11.8628
0.0000 -2.0554 11.8628
Gd Th Hg
2 1 1
direct
0.0887 0.0887 0.0887
0.9113 0.9113 0.9113
0.5000 0.5000 0.5000
0.0000 0.0000 0.0000
```

- Total magnetization: 14.8 μB/f.u.
- DOS(E_F): 4.83 states/eV per cell



Model b:
Material: Gd2ThHg
Method: DFT, PBE-GGA
State: relaxed

Structure (POSCAR):
```
Gd2ThHg
1.0
0.0000 3.8814 3.8814
3.8814 0.0000 3.8814
3.8814 3.8814 0.0000
Gd Th Hg
2 1 1
direct
0.2500 0.2500 0.2500
0.7500 0.7500 0.7500
0.0000 0.0000 0.0000
0.5000 0.5000 0.5000
```

- Total magnetization: 16.0 μB/f.u.
- DOS(E_F): 5.65 states/eV per cell



Tell me which of them is the least stable. Sure, it is model a.



Model a:
Material: Gd2ThHg
Method: DFT, PBE-GGA
State: relaxed

Structure (POSCAR):
```
Gd2ThHg
1.0
3.6289 0.0000 0.0000
0.0000 3.6289 0.0000
0.0000 0.0000 8.8838
Gd Th Hg
2 1 1
direct
0.0000 0.0000 0.2272
0.0000 0.0000 0.7728
0.5000 0.5000 0.5000
0.5000 0.5000 0.0000
```

- Total magnetization: 14.4 μB/f.u.
- DOS(E_F): 5.03 states/eV per cell



Model b:
Material: Gd2ThHg
Method: DFT, PBE-GGA
State: relaxed

Structure (POSCAR):
```
Gd2ThHg
1.0
4.8551 0.0000 0.0000
0.0000 4.8551 0.0000
0.0000 0.0000 4.8971
Gd Th Hg
2 1 1
direct
0.0000 0.5000 0.0000
0.5000 0.0000 0.0000
0.0000 0.0000 0.5000
0.5000 0.5000 0.5000
```

- Total magnetization: 15.3 μB/f.u.
- DOS(E_F): 4.50 states/eV per cell



Tell me which of them is the least stable. Sure, it is model b.



Model a:
Material: Gd2TlHg
Method: DFT, PBE-GGA
State: relaxed

Structure (POSCAR):
```
Gd2TlHg
1.0
3.7664 0.0000 0.0000
0.0000 3.7664 0.0000
0.0000 0.0000 7.6540
Gd Tl Hg
2 1 1
direct
0.0000 0.0000 0.2426
0.0000 0.0000 0.7574
0.5000 0.5000 0.5000
0.5000 0.5000 0.0000
```

- Total magnetization: 15.1 μB/f.u.
- DOS(E_F): 3.82 states/eV per cell



Model b:
Material: Gd2TlHg
Method: DFT, PBE-GGA
State: relaxed

Structure (POSCAR):
```
Gd2TlHg
1.0
1.8953 1.0943 9.4690
-1.8953 1.0943 9.4690
0.0000 -2.1885 9.4690
Gd Tl Hg
2 1 1
direct
0.2477 0.2477 0.2477
0.7523 0.7523 0.7523
0.0000 0.0000 0.0000
0.5000 0.5000 0.5000
```

- Total magnetization: 14.6 μB/f.u.
- DOS(E_F): 4.03 states/eV per cell



Tell me which of them is the least stable. Sure, it is model b.



Model a:
Material: GdTl2Hg
Method: DFT, PBE-GGA
State: relaxed

Structure (POSCAR):
```
GdTl2Hg
1.0
0.0000 3.7820 3.7820
3.7820 0.0000 3.7820
3.7820 3.7820 0.0000
Gd Tl Hg
1 2 1
direct
0.0000 0.0000 0.0000
0.2500 0.2500 0.2500
0.7500 0.7500 0.7500
0.5000 0.5000 0.5000
```

- Total magnetization: 7.0 μB/f.u.
- DOS(E_F): 4.64 states/eV per cell



Model b:
Material: GdTl2Hg
Method: DFT, PBE-GGA
State: relaxed

Structure (POSCAR):
```
GdTl2Hg
1.0
4.7413 0.0000 0.0000
0.0000 4.7413 0.0000
0.0000 0.0000 4.7020
Gd Tl Hg
1 2 1
direct
0.0000 0.0000 0.0000
0.0000 0.5000 0.5000
0.5000 0.0000 0.5000
0.5000 0.5000 0.0000
```

- Total magnetization: 7.3 μB/f.u.
- DOS(E_F): 3.90 states/eV per cell



Model c:
Material: GdTl2Hg
Method: DFT, PBE-GGA
State: relaxed

Structure (POSCAR):
```
GdTl2Hg
1.0
1.7558 1.0137 11.4855
-1.7558 1.0137 11.4855
0.0000 -2.0274 11.4855
Gd Tl Hg
1 2 1
direct
0.0000 0.0000 0.0000
0.0919 0.0919 0.0919
0.9081 0.9081 0.9081
0.5000 0.5000 0.5000
```

- Total magnetization: 7.5 μB/f.u.
- DOS(E_F): 4.15 states/eV per cell



Model d:
Material: GdTl2Hg
Method: DFT, PBE-GGA
State: relaxed

Structure (POSCAR):
```
GdTl2Hg
1.0
3.9172 0.0000 0.0000
0.0000 3.9172 0.0000
0.0000 0.0000 7.1399
Gd Tl Hg
1 2 1
direct
0.0000 0.0000 0.0000
0.5000 0.5000 0.2634
0.5000 0.5000 0.7366
0.0000 0.0000 0.5000
```

- Total magnetization: 7.7 μB/f.u.
- DOS(E_F): 4.49 states/eV per cell



Tell me which of them is the least stable. Sure, it is model c.



Model a:
Material: Gd2TmHg
Method: DFT, PBE-GGA
State: relaxed

Structure (POSCAR):
```
Gd2TmHg
1.0
3.6201 0.0000 0.0000
0.0000 3.6201 0.0000
0.0000 0.0000 8.9026
Gd Tm Hg
2 1 1
direct
0.0000 0.0000 0.2271
0.0000 0.0000 0.7729
0.5000 0.5000 0.5000
0.5000 0.5000 0.0000
```

- Total magnetization: 15.1 μB/f.u.
- DOS(E_F): 6.35 states/eV per cell



Model b:
Material: Gd2TmHg
Method: DFT, PBE-GGA
State: relaxed

Structure (POSCAR):
```
Gd2TmHg
1.0
1.7517 1.0113 11.9470
-1.7517 1.0113 11.9470
0.0000 -2.0227 11.9470
Gd Tm Hg
2 1 1
direct
0.0886 0.0886 0.0886
0.9114 0.9114 0.9114
0.5000 0.5000 0.5000
0.0000 0.0000 0.0000
```

- Total magnetization: 14.8 μB/f.u.
- DOS(E_F): 5.33 states/eV per cell



Tell me which of them is the least stable. Sure, it is model b.



Model a:
Material: Gd2TmHg
Method: DFT, PBE-GGA
State: relaxed

Structure (POSCAR):
```
Gd2TmHg
1.0
0.0000 3.8299 3.8299
3.8299 0.0000 3.8299
3.8299 3.8299 0.0000
Gd Tm Hg
2 1 1
direct
0.2500 0.2500 0.2500
0.7500 0.7500 0.7500
0.0000 0.0000 0.0000
0.5000 0.5000 0.5000
```

- Total magnetization: 15.2 μB/f.u.
- DOS(E_F): 5.16 states/eV per cell



Model b:
Material: Gd2TmHg
Method: DFT, PBE-GGA
State: relaxed

Structure (POSCAR):
```
Gd2TmHg
1.0
4.7852 0.0000 0.0000
0.0000 4.7852 0.0000
0.0000 0.0000 4.8639
Gd Tm Hg
2 1 1
direct
0.0000 0.5000 0.0000
0.5000 0.0000 0.0000
0.0000 0.0000 0.5000
0.5000 0.5000 0.5000
```

- Total magnetization: 15.5 μB/f.u.
- DOS(E_F): 5.16 states/eV per cell



Tell me which of them is the least stable. Sure, it is model a.



Model a:
Material: GdTm2Hg
Method: DFT, PBE-GGA
State: relaxed

Structure (POSCAR):
```
GdTm2Hg
1.0
3.5599 0.0000 0.0000
0.0000 3.5599 0.0000
0.0000 0.0000 8.9005
Gd Tm Hg
1 2 1
direct
0.0000 0.0000 0.0000
0.5000 0.5000 0.2802
0.5000 0.5000 0.7198
0.0000 0.0000 0.5000
```

- Total magnetization: 7.6 μB/f.u.
- DOS(E_F): 5.33 states/eV per cell



Model b:
Material: GdTm2Hg
Method: DFT, PBE-GGA
State: relaxed

Structure (POSCAR):
```
GdTm2Hg
1.0
4.7990 0.0000 0.0000
0.0000 4.7990 0.0000
0.0000 0.0000 4.7189
Gd Tm Hg
1 2 1
direct
0.0000 0.0000 0.0000
0.0000 0.5000 0.5000
0.5000 0.0000 0.5000
0.5000 0.5000 0.0000
```

- Total magnetization: 8.0 μB/f.u.
- DOS(E_F): 4.69 states/eV per cell



Tell me which of them is the least stable. Sure, it is model b.



Model a:
Material: GdTmHg
Method: DFT, PBE-GGA
State: relaxed

Structure (POSCAR):
```
GdTmHg
1.0
5.1177 0.0000 0.0000
-2.5589 4.4321 0.0000
0.0000 0.0000 3.7082
Gd Tm Hg
1 1 1
direct
0.0000 0.0000 0.0000
0.3333 0.6667 0.5301
0.6667 0.3333 0.3790
```

- Total magnetization: 7.3 μB/f.u.
- DOS(E_F): 3.11 states/eV per cell



Model b:
Material: GdTmHg
Method: DFT, PBE-GGA
State: relaxed

Structure (POSCAR):
```
GdTmHg
1.0
0.0000 3.5969 3.5969
3.5969 0.0000 3.5969
3.5969 3.5969 0.0000
Gd Tm Hg
1 1 1
direct
0.0000 0.0000 0.0000
0.5000 0.5000 0.5000
0.7500 0.7500 0.7500
```

- Total magnetization: 7.6 μB/f.u.
- DOS(E_F): 4.30 states/eV per cell



Tell me which of them is the least stable. Sure, it is model b.